{"formula": "NdEuRh2", "functional": "PBE", "state": "relaxed", "e_tot_ev_per_atom": -7.9300, "formation_enthalpy_0k_ev_per_atom": -0.49, "lattice_angstrom": [[4.988, 0.000, 0.000], [2.494, 4.320, 0.000], [2.494, 1.440, 4.073]], "species": ["Eu", "Rh", "Rh", "Nd"], "fractional_positions": [[0.000, 0.000, 0.000], [0.250, 0.250, 0.250], [0.750, 0.750, 0.750], [0.500, 0.500, 0.500]]}